No. 1
The following is a DFT calculation (PBE) of an optimized crystal structure of Np2H6RuRh.

Lattice parameters (Å, degrees): 5.140 5.140 7.522 90.00 90.00 90.00
Sites, in units of the cell vectors:
Np1 0.500 0.750 0.250
Np2 0.000 0.250 0.750
Np3 0.500 0.750 0.750
Np4 0.000 0.250 0.250
H1 0.500 0.250 0.256
H2 0.500 0.250 0.744
H3 0.000 0.750 0.244
H4 0.000 0.750 0.756
H5 0.251 0.001 0.500
H6 0.749 0.001 0.500
H7 0.251 0.499 0.500
H8 0.749 0.499 0.500
H9 0.751 0.501 0.000
H10 0.249 0.501 0.000
H11 0.249 0.999 0.000
H12 0.751 0.999 0.000
Ru1 0.500 0.250 0.500
Ru2 0.000 0.750 0.000
Rh1 0.000 0.750 0.500
Rh2 0.500 0.250 0.000

## Properties
E = -6.45 eV per atom


No. 2
The following is a DFT calculation (PBE) of an optimized crystal structure of NpSbHRh.

Lattice parameters (Å, degrees): 4.610 4.610 3.679 90.00 90.00 120.00
Sites, in units of the cell vectors:
Np1 0.572 0.144 0.310
Sb1 0.905 0.810 0.810
H1 0.239 0.477 0.310
Rh1 0.239 0.477 0.810

## Properties
E = -7.34 eV per atom


No. 3
The following is a DFT calculation (PBE) of an optimized crystal structure of NpSiHRh2.

Lattice parameters (Å, degrees): 3.814 5.771 6.938 90.00 90.00 109.29
Sites, in units of the cell vectors:
Np1 0.436 0.873 0.750
Np2 0.564 0.127 0.250
Si1 0.716 0.432 0.750
Si2 0.284 0.568 0.250
H1 0.000 0.000 0.000
H2 0.000 0.000 0.500
Rh1 0.159 0.318 0.952
Rh2 0.841 0.682 0.048
Rh3 0.159 0.318 0.548
Rh4 0.841 0.682 0.452

## Properties
E = -7.82 eV per atom


No. 4
The following is a DFT calculation (PBE) of an optimized crystal structure of NpSnH8Rh4.

Lattice parameters (Å, degrees): 5.577 5.577 6.144 63.01 63.01 60.00
Sites, in units of the cell vectors:
Np1 0.006 0.006 0.983
Sn1 0.337 0.337 0.989
H1 0.287 0.793 0.633
H2 0.793 0.287 0.633
H3 0.287 0.287 0.633
H4 0.206 0.206 0.382
H5 0.717 0.253 0.314
H6 0.253 0.717 0.314
H7 0.717 0.717 0.314
H8 0.758 0.758 0.727
Rh1 0.640 0.640 0.081
Rh2 0.995 0.510 0.499
Rh3 0.510 0.995 0.499
Rh4 0.995 0.995 0.499

## Properties
E = -5.22 eV per atom


No. 5
The following is a DFT calculation (PBE) of an optimized crystal structure of Sr2NpH12Rh3.

Lattice parameters (Å, degrees): 6.171 6.171 6.171 67.25 67.25 67.25
Sites, in units of the cell vectors:
Sr1 0.618 0.618 0.618
Sr2 0.382 0.382 0.382
Np1 0.000 0.000 0.000
H1 0.280 0.280 0.899
H2 0.868 0.868 0.409
H3 0.409 0.868 0.868
H4 0.899 0.280 0.280
H5 0.868 0.409 0.868
H6 0.280 0.899 0.280
H7 0.720 0.720 0.101
H8 0.132 0.132 0.591
H9 0.591 0.132 0.132
H10 0.101 0.720 0.720
H11 0.132 0.591 0.132
H12 0.720 0.101 0.720
Rh1 0.500 0.000 0.000
Rh2 0.000 0.500 0.000
Rh3 0.000 0.000 0.500

## Properties
E = -4.68 eV per atom


No. 6
The following is a DFT calculation (PBE) of an optimized crystal structure of NpTlH8Rh4.

Lattice parameters (Å, degrees): 5.603 5.603 6.145 62.88 62.88 60.00
Sites, in units of the cell vectors:
Np1 0.001 0.001 0.996
Tl1 0.347 0.347 0.958
H1 0.284 0.800 0.632
H2 0.800 0.284 0.632
H3 0.284 0.284 0.632
H4 0.208 0.208 0.377
H5 0.714 0.255 0.316
H6 0.255 0.714 0.316
H7 0.714 0.714 0.316
H8 0.756 0.756 0.731
Rh1 0.639 0.639 0.084
Rh2 0.994 0.509 0.503
Rh3 0.509 0.994 0.503
Rh4 0.994 0.994 0.503

## Properties
E = -5.10 eV per atom


No. 7
The following is a DFT calculation (PBE) of an optimized crystal structure of NpZn2H8Rh.

Lattice parameters (Å, degrees): 4.337 5.299 6.619 43.14 89.80 89.03
Sites, in units of the cell vectors:
Np1 0.000 0.000 0.500
Zn1 0.509 0.359 0.906
Zn2 0.491 0.641 0.094
H1 0.189 0.715 0.324
H2 0.903 0.656 0.032
H3 0.726 0.910 0.227
H4 0.811 0.285 0.676
H5 0.097 0.344 0.968
H6 0.274 0.090 0.773
H7 0.501 0.773 0.541
H8 0.499 0.227 0.459
Rh1 0.000 0.000 0.000

## Properties
E = -4.16 eV per atom


No. 8
The following is a DFT calculation (PBE) of an optimized crystal structure of NpH8Ru2.

Lattice parameters (Å, degrees): 3.509 5.105 5.105 117.35 91.52 91.52
Sites, in units of the cell vectors:
Np1 0.000 0.997 0.997
H1 0.478 0.971 0.678
H2 0.478 0.678 0.971
H3 0.754 0.577 0.577
H4 0.000 0.284 0.710
H5 0.000 0.710 0.284
H6 0.246 0.417 0.417
H7 0.522 0.315 0.023
H8 0.522 0.023 0.315
Ru1 0.500 0.668 0.326
Ru2 0.500 0.326 0.668

## Properties
E = -5.34 eV per atom


No. 9
The following is a DFT calculation (PBE) of an optimized crystal structure of NpH5Ru.

Lattice parameters (Å, degrees): 4.468 4.468 7.485 65.28 65.28 64.06
Sites, in units of the cell vectors:
Np1 0.500 0.500 0.750
Np2 0.500 0.500 0.250
H1 0.442 0.904 0.914
H2 0.442 0.904 0.413
H3 0.904 0.442 0.414
H4 0.000 0.000 0.750
H5 0.096 0.558 0.087
H6 0.904 0.442 0.913
H7 0.000 0.000 0.250
H8 0.096 0.558 0.586
H9 0.558 0.096 0.587
H10 0.558 0.096 0.086
Ru1 0.000 0.000 0.000
Ru2 0.000 0.000 0.500

## Properties
E = -5.72 eV per atom


No. 10
The following is a DFT calculation (PBE) of an optimized crystal structure of NpHRu.

Lattice parameters (Å, degrees): 4.796 5.263 3.554 107.71 90.00 117.11
Sites, in units of the cell vectors:
Np1 0.401 0.801 0.669
Np2 0.599 0.199 0.331
Ru1 0.142 0.285 0.858
Ru2 0.858 0.715 0.142
H1 0.136 0.272 0.350
H2 0.864 0.728 0.650

## Properties
E = -8.58 eV per atom


No. 11
The following is a DFT calculation (PBE) of an optimized crystal structure of NpHRu2.

Lattice parameters (Å, degrees): 3.284 3.284 7.196 76.81 76.81 60.00
Sites, in units of the cell vectors:
Np1 0.500 0.500 0.500
Ru1 0.085 0.085 0.745
Ru2 0.915 0.915 0.255
H1 0.000 0.000 0.000

## Properties
E = -8.30 eV per atom


No. 12
The following is a DFT calculation (PBE) of an optimized crystal structure of NpHRu2.

Lattice parameters (Å, degrees): 4.967 4.812 5.287 80.02 118.43 94.59
Sites, in units of the cell vectors:
Np1 0.867 0.115 0.962
Np2 0.326 0.596 0.944
H1 0.337 0.858 0.295
H2 0.423 0.381 0.625
Ru1 0.209 0.038 0.629
Ru2 0.977 0.625 0.256
Ru3 0.701 0.656 0.628
Ru4 0.564 0.200 0.290

## Properties
E = -8.67 eV per atom


Summary of density in kg/m3
11431 11347 10874 9134 6343 10067 7645 9154 9749 15003 11273 13358
(order as listed above)